Entry from the Alexandria database: SnAuBr after structural relaxation (GGA-PBE).

Its polymorph energy (0 for the lowest one) is 0.060 eV/atom. As for the size of the total moment: 0.000 μB per atom. The uncorrected formation energy comes out at -0.67 eV per formula unit. The crystal system is trigonal. The value obtained for the total energy is -3.208 eV per atom.

It has space group P3m1 (No. 156), with a = 4.1786 Å, b = 4.1786 Å, c = 5.5168 Å, α = 90.00°, β = 90.00° and γ = 120.00°. The inequivalent atoms are Sn at (0.0000, 0.0000, 0.0000), Au at (0.6667, 0.3333, 0.2604) and Br at (0.3333, 0.6667, 0.6253).